DFT (PBE with a Hubbard U) results for crystalline Li4MnCo2O7 at its relaxed geometry.

Cell and atoms, written as POSCAR:
```
Li4MnCo2O7
1.0
4.9446 0.0000 0.0000
-0.8533 4.9836 0.0000
-1.6195 -2.1166 9.5943
Li Mn Co O
8 2 4 14
Cartesian
0.0000 0.0000 0.0000 Li
-1.6333 3.9165 4.7821 Li
-0.0179 0.7507 2.9028 Li
-0.0464 1.6656 5.4189 Li
0.0436 2.4648 8.1803 Li
2.5357 0.4126 1.4724 Li
2.5762 1.2304 4.1465 Li
2.5500 2.1115 6.7677 Li
0.8410 2.6988 0.7173 Mn
1.6930 -0.6379 6.1449 Mn
-0.7779 -0.2247 7.5472 Co
0.8444 3.5148 3.4612 Co
1.6932 0.1753 8.9195 Co
3.3166 3.1080 2.1031 Co
-1.6167 1.1854 8.6569 O
-0.7661 2.4490 3.6565 O
0.0135 4.1042 1.7601 O
-0.7618 3.3532 6.5927 O
0.0557 -0.8195 9.2474 O
0.9934 -0.0052 4.5112 O
0.8558 0.7711 7.2833 O
1.6736 2.1019 2.3564 O
1.5457 2.8993 5.1516 O
2.4717 3.6967 0.3814 O
3.3084 -0.4753 3.0441 O
2.5317 -1.2222 7.8680 O
3.2969 0.4336 5.9763 O
4.1584 1.6883 0.9712 O
```

Values from the calculation:
Magnetization in μB/atom: 0.21
Polymorph energy (0 for the lowest one) in eV/atom: 0.0126

***

DFT (PBE with a Hubbard U) results for crystalline Li4MnCo2O7 at its relaxed geometry.

Cell and atoms, written as POSCAR:
```
Li4MnCo2O7
1.0
2.9196 0.0000 0.0000
1.0229 7.6692 0.0000
1.3076 1.5816 11.1509
Li Mn Co O
8 2 4 14
Cartesian
0.0000 0.0000 0.0000 Li
1.2850 2.6378 7.1737 Li
2.3544 6.5333 10.3902 Li
1.3945 0.9420 2.2183 Li
2.6251 4.6254 5.5754 Li
3.8557 8.3089 8.9325 Li
2.8958 2.7176 0.7607 Li
3.9652 6.6131 3.9772 Li
2.7467 3.4748 9.5916 Mn
2.5035 5.7761 1.5593 Mn
1.1754 3.7617 3.1664 Co
2.4702 7.4952 6.4368 Co
2.7800 1.7557 4.7141 Co
4.0748 5.4892 7.9845 Co
1.2947 2.2587 9.1906 O
1.2339 3.1352 5.0250 O
1.0545 4.4530 1.3404 O
2.4169 6.8451 8.3547 O
2.4662 8.0844 4.4341 O
1.4353 1.5048 0.2328 O
2.4526 5.1289 3.4850 O
2.7976 4.1220 7.6659 O
3.8149 7.7461 10.9181 O
2.7840 1.1665 6.7168 O
2.8332 2.4057 2.7962 O
4.1957 4.7979 9.8105 O
4.0163 6.1157 6.1259 O
3.9555 6.9921 1.9603 O
```

Values from the calculation:
Magnetization in μB/atom: 0.64
Polymorph energy (0 for the lowest one) in eV/atom: 0.0608

***

DFT (PBE with a Hubbard U) results for crystalline Li5MnCo2O8 at its relaxed geometry.

Cell and atoms, written as POSCAR:
```
Li5MnCo2O8
1.0
9.5876 -1.4180 0.0000
9.5876 1.4180 0.0000
-0.3623 0.0000 4.9661
Li Mn Co O
5 1 2 8
Cartesian
0.0000 0.0000 0.0000 Li
2.2363 0.0000 1.8931 Li
7.2812 0.0000 0.5289 Li
11.5317 0.0000 4.4372 Li
16.5766 0.0000 3.0730 Li
9.4064 0.0000 2.4831 Mn
4.5250 0.0000 3.7267 Co
14.2879 0.0000 1.2394 Co
0.8374 0.0000 3.3444 O
3.7597 0.0000 0.3296 O
5.6307 0.0000 2.1398 O
8.1415 0.0000 3.9057 O
10.6713 0.0000 1.0604 O
13.1821 0.0000 2.8263 O
15.0531 0.0000 4.6365 O
17.9755 0.0000 1.6217 O
```

Values from the calculation:
Magnetization in μB/atom: 0.17
Polymorph energy (0 for the lowest one) in eV/atom: 0.0221

***

DFT (PBE with a Hubbard U) results for crystalline Li7Mn4CoO12 at its relaxed geometry.

Cell and atoms, written as POSCAR:
```
Li7Mn4CoO12
1.0
5.7991 0.0000 0.0000
2.8871 5.0839 0.0000
1.4300 2.4239 7.0565
Li Mn Co O
7 4 1 12
Cartesian
0.0000 0.0000 0.0000 Li
1.4436 2.5419 0.0000 Li
1.4598 0.8673 2.2711 Li
5.7922 6.6638 4.7583 Li
2.8995 0.0000 0.0000 Li
4.3240 0.8439 2.2982 Li
8.6563 6.6405 4.7854 Li
2.8771 3.3394 2.3097 Mn
4.3138 4.1602 4.7541 Mn
5.8024 3.3476 2.3025 Mn
7.2391 4.1684 4.7468 Mn
4.3431 2.5419 0.0000 Co
2.9324 4.8912 3.5962 O
2.9229 3.3344 5.7527 O
4.3969 5.6939 5.8646 O
2.9640 1.8206 1.1878 O
4.3752 4.0968 1.1918 O
4.3820 2.6268 3.4961 O
5.7342 4.8809 3.5604 O
5.7410 3.4110 5.8647 O
7.1521 5.6872 5.8687 O
5.7193 1.8139 1.1920 O
7.1933 4.1733 1.3039 O
7.1837 2.6166 3.4604 O
```

Values from the calculation:
Magnetization in μB/atom: 0.42
Polymorph energy (0 for the lowest one) in eV/atom: 0.0958

***

DFT (PBE with a Hubbard U) results for crystalline Li4MnCo2O7 at its relaxed geometry.

Cell and atoms, written as POSCAR:
```
Li4MnCo2O7
1.0
7.6842 -1.4627 0.0000
7.6842 1.4627 0.0000
-6.0660 0.0000 11.1866
Li Mn Co O
8 2 4 14
Cartesian
0.0000 0.0000 0.0000 Li
-2.2638 0.0000 8.0057 Li
1.7918 0.0000 5.0118 Li
5.5063 0.0000 1.6762 Li
4.6061 0.0000 5.7159 Li
3.4414 0.0000 9.5431 Li
7.3601 0.0000 6.4442 Li
11.4054 0.0000 3.5057 Li
8.4297 0.0000 2.5093 Mn
6.3831 0.0000 10.4577 Mn
-1.2388 0.0000 4.1260 Co
2.7677 0.0000 0.9082 Co
0.7303 0.0000 8.7188 Co
10.4628 0.0000 7.1529 Co
-0.5318 0.0000 2.2344 O
-1.6164 0.0000 5.8521 O
-2.5679 0.0000 10.1257 O
1.9829 0.0000 2.9111 O
1.1546 0.0000 6.9405 O
-0.0291 0.0000 10.7777 O
5.2825 0.0000 3.7080 O
4.0063 0.0000 7.6653 O
8.9432 0.0000 0.6915 O
7.7372 0.0000 4.3419 O
6.9414 0.0000 8.6166 O
11.9209 0.0000 1.1518 O
10.7590 0.0000 5.3584 O
9.7084 0.0000 9.2187 O
```

Values from the calculation:
Magnetization in μB/atom: 0.64
Polymorph energy (0 for the lowest one) in eV/atom: 0.0829

***

DFT (PBE with a Hubbard U) results for crystalline Li6Mn3CoO10 at its relaxed geometry.

Cell and atoms, written as POSCAR:
```
Li6Mn3CoO10
1.0
2.9944 0.0000 0.0000
-0.1631 5.0760 0.0000
-0.7038 -1.3078 12.0233
Li Mn Co O
6 3 1 10
Cartesian
0.0000 0.0000 0.0000 Li
-0.0934 3.4292 2.2829 Li
0.4699 -0.2008 7.2257 Li
0.6111 1.4309 11.9874 Li
1.6373 4.1049 4.8359 Li
2.1255 0.5087 9.6086 Li
0.1384 1.6250 4.7486 Mn
1.5062 0.8217 2.2646 Mn
1.8600 2.3623 7.2231 Mn
0.5451 3.0912 9.7078 Co
-0.0009 1.6170 1.2914 O
0.0247 0.1256 3.4447 O
0.1346 3.1864 5.9542 O
0.5522 1.5990 8.4405 O
0.6867 -0.5365 10.6408 O
1.3659 4.3735 1.2560 O
1.4445 2.3855 3.5585 O
1.8598 0.8057 5.9910 O
1.8268 3.8868 8.4039 O
2.1839 2.2169 10.6948 O
```

Values from the calculation:
Magnetization in μB/atom: 0.70
Polymorph energy (0 for the lowest one) in eV/atom: 0.0620

***

DFT (PBE with a Hubbard U) results for crystalline Li4MnCo2O7 at its relaxed geometry.

Cell and atoms, written as POSCAR:
```
Li4MnCo2O7
1.0
4.9932 0.0000 0.0000
1.4674 4.8328 0.0000
1.8397 0.5381 10.5138
Li Mn Co O
8 2 4 14
Cartesian
0.0000 0.0000 0.0000 Li
2.6090 2.9155 9.0589 Li
2.8357 2.7455 6.0340 Li
3.0662 2.5294 2.9960 Li
3.2303 2.4164 0.0000 Li
5.2342 2.8415 7.5178 Li
5.4646 2.6254 4.4798 Li
5.6913 2.4554 1.4549 Li
3.6869 5.0471 4.4744 Mn
4.6135 0.3237 6.0394 Mn
1.9956 0.4293 7.5597 Co
3.8907 4.8461 1.4174 Co
4.4096 0.5248 9.0964 Co
6.3047 4.9416 2.9541 Co
2.1058 3.9222 4.3954 O
1.3741 1.2600 3.0485 O
2.4353 3.8042 1.5034 O
1.7019 1.1265 0.0778 O
4.3798 4.2614 8.9108 O
3.5338 1.5308 7.6534 O
4.4967 4.0191 5.9425 O
3.8036 1.3517 4.5713 O
4.7665 3.8400 2.8604 O
3.9205 1.1095 1.6030 O
6.5984 4.2444 10.4360 O
5.8650 1.5667 9.0104 O
6.9262 4.1109 7.4653 O
6.1946 1.4486 6.1185 O
```

Values from the calculation:
Magnetization in μB/atom: 0.64
Polymorph energy (0 for the lowest one) in eV/atom: 0.0936

***

DFT (PBE with a Hubbard U) results for crystalline Li2MnCo3O8 at its relaxed geometry.

Cell and atoms, written as POSCAR:
```
Li2MnCo3O8
1.0
5.6989 0.0000 0.0000
-2.7794 4.9951 0.0000
-2.7916 -1.7021 4.9198
Li Mn Co O
2 1 3 8
Cartesian
0.0000 0.0000 0.0000 Li
1.4598 2.4976 0.0000 Li
-2.7855 1.6465 2.4599 Mn
-1.3958 -0.8510 2.4599 Co
1.4536 -0.8510 2.4599 Co
0.0639 1.6465 2.4599 Co
-2.8293 3.2742 1.3994 O
-1.3390 0.8039 1.4705 O
0.0105 0.0274 3.4317 O
-1.3191 2.3914 3.5141 O
1.4470 0.9016 1.4057 O
0.1174 3.2657 1.4881 O
1.4669 2.4892 3.4493 O
2.9572 0.0189 3.5204 O
```

Values from the calculation:
Magnetization in μB/atom: 0.57
Polymorph energy (0 for the lowest one) in eV/atom: 0.0846

***

DFT (PBE with a Hubbard U) results for crystalline Li5MnCo2O8 at its relaxed geometry.

Cell and atoms, written as POSCAR:
```
Li5MnCo2O8
1.0
5.0484 -2.8598 0.0000
5.0484 2.8598 0.0000
-1.6149 0.0000 4.6371
Li Mn Co O
5 1 2 8
Cartesian
0.0000 0.0000 0.0000 Li
2.5242 1.4299 0.0000 Li
1.6932 0.0000 2.2692 Li
2.5242 -1.4299 0.0000 Li
6.7886 0.0000 2.3679 Li
5.0484 0.0000 0.0000 Mn
4.2409 1.4666 2.3186 Co
4.2409 -1.4666 2.3186 Co
-0.0427 0.0000 3.3138 O
2.7083 1.3454 3.4676 O
5.7735 1.3454 1.1695 O
3.5158 0.0000 1.1845 O
4.9660 0.0000 3.4526 O
2.7083 -1.3454 3.4676 O
5.7735 -1.3454 1.1695 O
8.5245 0.0000 1.3233 O
```

Values from the calculation:
Magnetization in μB/atom: 0.25
Polymorph energy (0 for the lowest one) in eV/atom: 0.0052

***

DFT (PBE with a Hubbard U) results for crystalline Li4MnCo2O7 at its relaxed geometry.

Cell and atoms, written as POSCAR:
```
Li4MnCo2O7
1.0
2.9187 0.0000 0.0000
0.0153 8.1345 0.0000
1.1667 2.1585 10.5051
Li Mn Co O
8 2 4 14
Cartesian
0.0000 0.0000 0.0000 Li
0.0505 4.1177 0.1862 Li
1.1952 2.0890 7.5061 Li
1.3849 6.1520 4.2536 Li
1.4228 1.9822 1.5567 Li
2.6498 8.4055 9.1763 Li
2.6844 4.1096 5.8162 Li
2.9181 8.1523 2.8507 Li
1.2009 6.2419 7.4573 Mn
2.6565 4.1196 8.9828 Mn
1.2637 2.0688 4.4715 Co
1.4540 6.2741 1.3881 Co
2.6734 8.1988 5.9709 Co
2.8588 4.1104 2.9614 Co
0.0178 6.0764 0.0319 O
1.2003 4.2622 10.2205 O
1.1993 4.2887 7.5942 O
1.2080 8.1455 7.2992 O
1.2141 8.1689 4.7042 O
1.2180 4.1032 4.4310 O
1.4575 8.0898 1.5066 O
1.5395 4.0961 1.5893 O
2.6536 2.3249 8.9117 O
2.6576 6.1967 8.7485 O
2.6569 6.2371 6.1527 O
2.6545 1.9761 5.8910 O
2.8222 2.1452 3.0706 O
2.8684 6.0144 2.8716 O
```

Values from the calculation:
Magnetization in μB/atom: 0.56
Polymorph energy (0 for the lowest one) in eV/atom: 0.0704

***

DFT (PBE with a Hubbard U) results for crystalline LiMnCo2O4 at its relaxed geometry.

Cell and atoms, written as POSCAR:
```
LiMnCo2O4
1.0
5.1234 0.0000 0.0000
0.0000 3.0513 0.0000
-1.5597 0.0000 4.8930
Li Mn Co O
1 1 2 4
Cartesian
0.0000 0.0000 0.0000 Li
-0.7798 1.5257 2.4465 Mn
1.7819 0.0000 2.4465 Co
2.5617 1.5257 0.0000 Co
0.8453 1.5257 1.3182 O
0.0980 0.0000 3.7129 O
3.4658 0.0000 1.1801 O
2.7185 1.5257 3.5748 O
```

Values from the calculation:
Magnetization in μB/atom: 1.25
DFT total energy in eV per atom: -6.30

***

DFT (PBE with a Hubbard U) results for crystalline LiMn4Co2O12 at its relaxed geometry.

Cell and atoms, written as POSCAR:
```
LiMn4Co2O12
1.0
4.3272 -2.4886 0.0000
4.3272 2.4886 0.0000
-0.4605 0.0000 10.3019
Li Mn Co O
1 4 2 12
Cartesian
0.0000 0.0000 0.0000 Li
3.3489 0.5517 7.7181 Mn
4.8450 0.5517 2.5838 Mn
3.3927 -1.9295 2.6402 Mn
4.8012 -1.9295 7.6617 Mn
1.9601 0.5525 2.5778 Co
6.2339 0.5525 7.7241 Co
3.4172 1.4141 1.5851 O
0.5500 -0.2739 3.5528 O
4.7767 1.4141 8.7169 O
1.9240 -0.3068 6.7552 O
1.9619 -1.0902 1.6113 O
3.3842 -0.2442 3.5500 O
4.8097 -0.2442 6.7519 O
3.3582 -1.1515 8.7122 O
4.8357 -1.1515 1.5898 O
6.2699 -0.3068 3.5467 O
7.6439 -0.2739 6.7491 O
6.2320 -1.0902 8.6906 O
```

Values from the calculation:
Magnetization in μB/atom: 0.68
Polymorph energy (0 for the lowest one) in eV/atom: 0.0063